#P
Entry from Alexandria: CeNpRu after structural relaxation (GGA-PBE).

space group	Pnma, No. 62
total moment	1.165	μB per atom

Unit cell a=6.2146 b=4.8320 c=8.0435 alpha=90.00 beta=90.00 gamma=90.00
Last column: nearest neighbours and their distance in Å.
Fractional positions:
Ce1 0.0144 0.2500 0.2050  3 Np 2.73-2.85, 1 Ru 2.97
Ce2 0.4856 0.7500 0.7050  3 Np 2.73-2.85, 1 Ru 2.97
Ce3 0.5144 0.2500 0.2950  3 Np 2.73-2.85, 1 Ru 2.97
Ce4 0.9856 0.7500 0.7950  3 Np 2.73-2.85, 1 Ru 2.97
Np1 0.1909 0.2500 0.8946  4 Ru 2.69-2.97, 3 Ce 2.73-2.85
Np2 0.3091 0.7500 0.3946  4 Ru 2.69-2.97, 3 Ce 2.73-2.85
Np3 0.6909 0.2500 0.6054  4 Ru 2.69-2.97, 3 Ce 2.73-2.85
Np4 0.8091 0.7500 0.1054  4 Ru 2.69-2.97, 3 Ce 2.73-2.85
Ru1 0.1352 0.2500 0.5629  4 Np 2.69-2.97, 1 Ce 2.97
Ru2 0.3648 0.7500 0.0629  4 Np 2.69-2.97, 1 Ce 2.97
Ru3 0.6352 0.2500 0.9371  4 Np 2.69-2.97, 1 Ce 2.97
Ru4 0.8648 0.7500 0.4371  4 Np 2.69-2.97, 1 Ce 2.97

=====

#Q
Entry from Alexandria: CeNpRu after structural relaxation (GGA-PBE).

space group	P3m1, No. 156
total moment	0.000	μB per atom

Unit cell a=4.7403 b=4.7403 c=2.7891 alpha=90.00 beta=90.00 gamma=120.00
Last column: nearest neighbours and their distance in Å.
Fractional positions:
Ce1 0.0000 0.0000 0.0000  3 Np 2.74, 2 Ce 2.79, 3 Ru 2.94
Np1 0.3333 0.6667 0.0076  3 Ce 2.74, 2 Np 2.79, 3 Ru 2.93
Ru1 0.6667 0.3333 0.3856  2 Ru 2.79, 3 Np 2.93, 3 Ce 2.94

=====

#R
Entry from Alexandria: CeNpRu after structural relaxation (GGA-PBE).

space group	I4mm, No. 107
total moment	1.141	μB per atom

Unit cell a=5.6276 b=5.6276 c=5.6276 alpha=144.18 beta=144.18 gamma=51.55
Last column: nearest neighbours and their distance in Å.
Fractional positions:
Ce1 0.0000 0.0000 0.0000  5 Np 3.01-3.31, 5 Ru 3.05-3.25
Np1 0.3270 0.3270 0.0000  4 Ru 2.87, 4 Ce 3.01
Ru1 0.6793 0.6793 0.0000  4 Np 2.87, 4 Ce 3.05

=====

Of the structures shown above, #Q is the least stable.